(1)
# SmCoTc

A relaxed structure of SmCoTc (PBE, Alexandria via LeMat-Bulk).

abc: 6.1628 6.1628 6.1630
angles: 67.03 135.61 132.50
With the nearest neighbours (Å) after each atom.
Fractional coordinates of all 6 atoms:
Sm  0.2502  0.6175  0.8677  4 Tc 2.97, 2 Co 2.99
Sm  0.7498  0.3825  0.1323  4 Tc 2.97, 2 Co 2.99
Tc  0.0000  0.0000  0.5000  2 Co 2.45, 2 Tc 2.48
Tc  0.5000  0.5000  0.5000  2 Co 2.45, 2 Tc 2.48
Co  0.2496  0.0442  0.2938  2 Tc 2.45, 2 Co 2.50
Co  0.7504  0.9558  0.7062  2 Tc 2.45, 2 Co 2.50

Properties
As for the energy relative to the lowest polymorph listed for this composition: 0.327 eV/atom. Its space group is Imma. As for the total magnetization: 0.46 μB/atom. The calculation puts the raw total energy at -42.8 eV/cell. The value obtained for the energy of formation from the pure elements is 0.262 eV per atom. As for the crystal system: orthorhombic.

(2)
# SmThCoTc

A relaxed structure of SmThCoTc (PBE, Alexandria via LeMat-Bulk).

abc: 4.9355 4.9355 4.9355
angles: 60.00 60.00 60.00
With the nearest neighbours (Å) after each atom.
Fractional coordinates of all 4 atoms:
Co  0.2500  0.2500  0.2500  4 Sm 3.02, 4 Th 3.02
Sm  0.0000  0.0000  0.0000  4 Tc 3.02, 4 Co 3.02
Th  0.5000  0.5000  0.5000  4 Co 3.02, 4 Tc 3.02
Tc  0.7500  0.7500  0.7500  4 Sm 3.02, 4 Th 3.02

Properties
Its space group is F-43m. As for the total magnetization: 0.17 μB/atom. The calculation puts the raw total energy at -29.6 eV/cell. The value obtained for the energy of formation from the pure elements is 0.005 eV per atom. As for the crystal system: cubic.